1.
Computed, not measured: crystalline Co3PdSe8 at its relaxed geometry at the PBE-GGA level of DFT.

Properties
The total moment is 0.00 Bohr magnetons per cell. As for the density of states at the Fermi level: 8.27 states/eV per cell. Its uncorrected formation energy is -26.7 kJ/mol of atoms.

a b c (Å): 7.171 7.186 8.081
angles (deg): 132.41 90.00 119.93
Element x y z (fractional)
Co1 0.500 0.000 0.000
Pd1 0.000 0.000 0.000
Co2 0.500 0.500 0.000
Se1 0.213 0.425 0.761
Se2 0.301 0.602 0.248
Co3 0.000 0.500 0.000
Se3 0.227 0.927 0.753
Se4 0.300 0.073 0.247
Se5 0.700 0.927 0.753
Se6 0.787 0.575 0.239
Se7 0.773 0.073 0.247
Se8 0.699 0.398 0.752

***

2.
Computed, not measured: crystalline SrCo2PdSe at its relaxed geometry at the PBE-GGA level of DFT.

Properties
The total moment is 3.46 Bohr magnetons per cell. As for the density of states at the Fermi level: 3.25 states/eV per cell. Its uncorrected formation energy is 26.5 kJ/mol of atoms.

a b c (Å): 4.417 5.817 4.417
angles (deg): 90.00 90.00 90.00
Element x y z (fractional)
Sr1 0.000 0.500 0.000
Co1 0.000 0.000 0.500
Se1 0.000 0.000 0.000
Pd1 0.500 0.500 0.500
Co2 0.500 0.000 0.000

***

3.
Computed, not measured: crystalline Ta4Co2PdSe12 at its relaxed geometry at the PBE-GGA level of DFT.

Properties
The total moment is 0.00 Bohr magnetons per cell. As for the density of states at the Fermi level: 2.21 states/eV per cell. Its uncorrected formation energy is -68.0 kJ/mol of atoms.

a b c (Å): 7.357 7.357 19.516
angles (deg): 69.90 69.90 26.93
Element x y z (fractional)
Se1 0.975 0.975 0.881
Ta1 0.744 0.744 0.593
Se2 0.606 0.606 0.718
Se3 0.802 0.802 0.763
Ta2 0.622 0.622 0.849
Se4 0.181 0.181 0.926
Se5 0.025 0.025 0.119
Pd1 0.000 0.000 0.000
Co1 0.774 0.774 0.285
Se6 0.370 0.370 0.606
Ta3 0.378 0.378 0.151
Co2 0.226 0.226 0.715
Ta4 0.256 0.256 0.407
Se7 0.863 0.863 0.450
Se8 0.819 0.819 0.074
Se9 0.137 0.137 0.550
Se10 0.630 0.630 0.394
Se11 0.394 0.394 0.282
Se12 0.198 0.198 0.237

***

4.
Computed, not measured: crystalline Ta2CoPdSe at its relaxed geometry at the PBE-GGA level of DFT.

Properties
The total moment is 1.72 Bohr magnetons per cell. As for the density of states at the Fermi level: 5.67 states/eV per cell. Its uncorrected formation energy is 161.8 kJ/mol of atoms.

a b c (Å): 4.854 4.854 4.822
angles (deg): 90.00 90.00 90.00
Element x y z (fractional)
Se1 0.000 0.000 0.500
Co1 0.500 0.500 0.500
Pd1 0.000 0.000 0.000
Ta1 0.000 0.500 0.000
Ta2 0.500 0.000 0.000

***

5.
Computed, not measured: crystalline Th4CoPdSe2 at its relaxed geometry at the PBE-GGA level of DFT.

Properties
The total moment is 0.00 Bohr magnetons per cell. As for the density of states at the Fermi level: 7.58 states/eV per cell. Its uncorrected formation energy is -96.0 kJ/mol of atoms.

a b c (Å): 4.148 7.577 7.028
angles (deg): 72.96 90.00 90.00
Element x y z (fractional)
Th1 0.500 0.719 0.267
Se1 0.000 0.000 0.000
Pd1 0.500 0.500 0.000
Th2 0.000 0.725 0.736
Th3 0.500 0.281 0.733
Th4 0.000 0.275 0.264
Co1 0.000 0.500 0.500
Se2 0.500 0.000 0.500

***

6.
Computed, not measured: crystalline Tl2CoPdSe4 at its relaxed geometry at the PBE-GGA level of DFT.

Properties
The total moment is 1.73 Bohr magnetons per cell. As for the density of states at the Fermi level: 10.23 states/eV per cell. Its uncorrected formation energy is -20.7 kJ/mol of atoms.

a b c (Å): 5.592 7.414 11.226
angles (deg): 84.61 75.58 67.84
Element x y z (fractional)
Se1 0.243 0.199 0.875
Se2 0.558 0.199 0.125
Se3 0.433 0.699 0.375
Se4 0.882 0.801 0.875
Co1 0.500 0.000 0.000
Co2 0.250 0.500 0.500
Tl1 0.939 0.500 0.121
Se5 0.868 0.699 0.625
Se6 0.507 0.301 0.625
Tl2 0.189 0.000 0.621
Pd1 0.000 0.000 0.000
Tl3 0.561 0.500 0.879
Se7 0.317 0.801 0.125
Tl4 0.811 0.000 0.379
Pd2 0.750 0.500 0.500
Se8 0.192 0.301 0.375

***

7.
Computed, not measured: crystalline V2CoPd2Se6 at its relaxed geometry at the PBE-GGA level of DFT.

Properties
The total moment is 3.45 Bohr magnetons per cell. As for the density of states at the Fermi level: 10.59 states/eV per cell. Its uncorrected formation energy is -39.8 kJ/mol of atoms.

a b c (Å): 6.327 6.327 8.803
angles (deg): 111.75 111.75 120.16
Element x y z (fractional)
V1 0.347 0.653 0.500
Co1 0.000 0.000 0.500
Se1 0.942 0.942 0.749
Se2 0.222 0.546 0.724
Se3 0.778 0.454 0.276
Se4 0.546 0.222 0.724
Se5 0.454 0.778 0.276
Pd1 0.171 0.829 0.000
Se6 0.058 0.058 0.251
V2 0.653 0.347 0.500
Pd2 0.829 0.171 0.000

***

8.
Computed, not measured: crystalline CoSi2Pd2 at its relaxed geometry at the PBE-GGA level of DFT.

Properties
The total moment is 1.05 Bohr magnetons per cell. As for the density of states at the Fermi level: 7.30 states/eV per cell. Its uncorrected formation energy is -31.3 kJ/mol of atoms.

a b c (Å): 6.064 6.064 3.694
angles (deg): 90.00 90.00 90.00
Element x y z (fractional)
Co1 0.000 0.000 0.000
Pd1 0.334 0.166 0.500
Si1 0.356 0.856 0.000
Si2 0.856 0.644 0.000
Si3 0.144 0.356 0.000
Pd2 0.666 0.834 0.500
Co2 0.500 0.500 0.000
Pd3 0.166 0.666 0.500
Si4 0.644 0.144 0.000
Pd4 0.834 0.334 0.500

***

9.
Computed, not measured: crystalline CoSiPd2 at its relaxed geometry at the PBE-GGA level of DFT.

Properties
The total moment is 3.15 Bohr magnetons per cell. As for the density of states at the Fermi level: 10.48 states/eV per cell. Its uncorrected formation energy is 8.5 kJ/mol of atoms.

a b c (Å): 3.726 3.726 8.963
angles (deg): 78.00 78.00 90.00
Element x y z (fractional)
Co1 0.750 0.250 0.500
Pd1 0.375 0.377 0.750
Si1 0.250 0.750 0.500
Co2 0.000 0.000 0.000
Pd2 0.623 0.125 0.250
Si2 0.500 0.500 0.000
Pd3 0.127 0.625 0.250
Pd4 0.875 0.873 0.750

***

10.
Computed, not measured: crystalline CoSiTcPd2 at its relaxed geometry at the PBE-GGA level of DFT.

Properties
The total moment is 1.46 Bohr magnetons per cell. As for the density of states at the Fermi level: 4.84 states/eV per cell. Its uncorrected formation energy is 102.8 kJ/mol of atoms.

a b c (Å): 4.574 4.249 4.574
angles (deg): 90.00 90.00 90.00
Element x y z (fractional)
Pd1 0.500 0.000 0.000
Si1 0.500 0.500 0.500
Pd2 0.000 0.000 0.500
Tc1 0.000 0.500 0.000
Co1 0.000 0.000 0.000

***

11.
Computed, not measured: crystalline CoSiTe2Pd at its relaxed geometry at the PBE-GGA level of DFT.

Properties
The total moment is 1.28 Bohr magnetons per cell. As for the density of states at the Fermi level: 5.05 states/eV per cell. Its uncorrected formation energy is 65.2 kJ/mol of atoms.

a b c (Å): 4.950 4.697 4.950
angles (deg): 90.00 90.00 90.00
Element x y z (fractional)
Te1 0.500 0.000 0.000
Si1 0.500 0.500 0.500
Co1 0.000 0.000 0.000
Te2 0.000 0.000 0.500
Pd1 0.000 0.500 0.000

***

12.
Computed, not measured: crystalline TiCoSiPd at its relaxed geometry at the PBE-GGA level of DFT.

Properties
The total moment is 0.00 Bohr magnetons per cell. As for the density of states at the Fermi level: 4.23 states/eV per cell. Its uncorrected formation energy is -49.1 kJ/mol of atoms.

a b c (Å): 4.228 4.228 4.228
angles (deg): 60.00 60.00 60.00
Element x y z (fractional)
Si1 0.750 0.750 0.750
Pd1 0.000 0.000 0.000
Ti1 0.250 0.250 0.250
Co1 0.500 0.500 0.500

***

13.
Computed, not measured: crystalline UCoSi2Pd at its relaxed geometry at the PBE-GGA level of DFT.

Properties
The total moment is 2.84 Bohr magnetons per cell. As for the density of states at the Fermi level: 7.77 states/eV per cell. Its uncorrected formation energy is -52.5 kJ/mol of atoms.

a b c (Å): 3.961 3.961 5.771
angles (deg): 110.07 110.07 90.00
Element x y z (fractional)
Pd1 0.250 0.750 0.500
Si1 0.617 0.617 0.234
U1 0.000 0.000 0.000
Co1 0.750 0.250 0.500
Si2 0.383 0.383 0.766

***

14.
Computed, not measured: crystalline Sm4CoPd at its relaxed geometry at the PBE-GGA level of DFT.

Properties
The total moment is 0.00 Bohr magnetons per cell. The calculation puts the energy of formation at -149.1 kJ/mol of formula units. As for the density of states at the Fermi level: 13.40 states/eV per cell.

a b c (Å): 7.108 6.809 8.383
angles (deg): 109.61 110.88 99.56
Element x y z (fractional)
Sm1 0.210 0.961 0.433
Sm2 0.723 0.472 0.433
Co1 0.912 0.162 0.324
Co2 0.088 0.838 0.676
Pd1 0.628 0.378 0.756
Sm3 0.277 0.528 0.567
Sm4 0.790 0.039 0.567
Sm5 0.945 0.286 0.070
Sm6 0.055 0.714 0.930
Pd2 0.372 0.622 0.244
Sm7 0.375 0.216 0.930
Sm8 0.625 0.784 0.070

***

15.
Computed, not measured: crystalline Sm4CoPd at its relaxed geometry at the PBE-GGA level of DFT.

Properties
The total moment is 0.00 Bohr magnetons per cell. The calculation puts the energy of formation at -159.8 kJ/mol of formula units. As for the density of states at the Fermi level: 16.07 states/eV per cell.

a b c (Å): 6.396 6.962 6.962
angles (deg): 90.00 90.00 90.00
Element x y z (fractional)
Sm1 0.000 0.327 0.192
Sm2 0.000 0.192 0.673
Pd1 0.750 0.000 0.000
Sm3 0.500 0.673 0.192
Sm4 0.500 0.192 0.327
Co1 0.750 0.500 0.500
Sm5 0.500 0.327 0.808
Sm6 0.500 0.808 0.673
Sm7 0.000 0.808 0.327
Co2 0.250 0.500 0.500
Sm8 0.000 0.673 0.808
Pd2 0.250 0.000 0.000

***

16.
Computed, not measured: crystalline Sm8CoPd2 at its relaxed geometry at the PBE-GGA level of DFT.

Properties
The total moment is 0.00 Bohr magnetons per cell. The calculation puts the energy of formation at -297.3 kJ/mol of formula units. As for the density of states at the Fermi level: 13.04 states/eV per cell.

a b c (Å): 5.129 6.852 9.108
angles (deg): 102.02 106.35 90.00
Element x y z (fractional)
Sm1 0.588 0.440 0.175
Pd1 0.806 0.264 0.612
Sm2 0.031 0.787 0.061
Sm3 0.339 0.028 0.678
Sm4 0.797 0.675 0.595
Sm5 0.412 0.560 0.825
Pd2 0.194 0.736 0.388
Sm6 0.969 0.213 0.939
Sm7 0.203 0.325 0.405
Sm8 0.661 0.972 0.322
Co1 0.500 0.000 0.000

***

17.
Computed, not measured: crystalline Sm8CoPd2 at its relaxed geometry at the PBE-GGA level of DFT.

Properties
The total moment is 0.00 Bohr magnetons per cell. The calculation puts the energy of formation at -219.5 kJ/mol of formula units. As for the density of states at the Fermi level: 11.06 states/eV per cell.

a b c (Å): 6.325 7.691 7.691
angles (deg): 109.41 103.87 103.87
Element x y z (fractional)
Sm1 0.324 0.914 0.638
Sm2 0.324 0.638 0.914
Pd1 0.497 0.701 0.326
Sm3 0.609 0.095 0.360
Pd2 0.497 0.326 0.701
Sm4 0.963 0.155 0.848
Sm5 0.609 0.360 0.095
Sm6 0.963 0.848 0.155
Sm7 0.193 0.369 0.369
Sm8 0.788 0.638 0.638
Co1 0.234 0.990 0.990

***

18.
Computed, not measured: crystalline Sm5Co2Pd at its relaxed geometry at the PBE-GGA level of DFT.

Properties
The total moment is 0.00 Bohr magnetons per cell. The calculation puts the energy of formation at -215.1 kJ/mol of formula units. As for the density of states at the Fermi level: 17.20 states/eV per cell.

a b c (Å): 7.475 7.475 8.738
angles (deg): 115.33 115.33 90.00
Element x y z (fractional)
Co1 0.618 0.118 0.000
Sm1 0.808 0.966 0.275
Sm2 0.966 0.466 0.275
Sm3 0.192 0.034 0.725
Pd1 0.750 0.750 0.500
Sm4 0.692 0.192 0.725
Sm5 0.534 0.692 0.725
Sm6 0.000 0.000 0.000
Co2 0.382 0.882 0.000
Sm7 0.034 0.534 0.725
Co3 0.118 0.382 0.000
Sm8 0.500 0.500 0.000
Pd2 0.250 0.250 0.500
Co4 0.882 0.618 0.000
Sm9 0.466 0.308 0.275
Sm10 0.308 0.808 0.275

***

19.
Computed, not measured: crystalline Sm3CoPd at its relaxed geometry at the PBE-GGA level of DFT.

Properties
The total moment is 0.00 Bohr magnetons per cell. The calculation puts the energy of formation at -173.4 kJ/mol of formula units. As for the density of states at the Fermi level: 11.13 states/eV per cell.

a b c (Å): 3.832 8.167 8.236
angles (deg): 86.46 90.01 103.59
Element x y z (fractional)
Sm1 0.624 0.282 0.758
Sm2 0.786 0.605 0.406
Sm3 0.965 0.963 0.028
Co1 0.239 0.512 0.654
Sm4 0.258 0.549 0.015
Pd1 0.430 0.893 0.292
Co2 0.804 0.642 0.768
Sm5 0.079 0.191 0.393
Pd2 0.614 0.261 0.130
Sm6 0.420 0.872 0.664

***

20.
Computed, not measured: crystalline Sm6Co2Pd at its relaxed geometry at the PBE-GGA level of DFT.

Properties
The total moment is 0.01 Bohr magnetons per cell. The calculation puts the energy of formation at -214.7 kJ/mol of formula units. As for the density of states at the Fermi level: 18.62 states/eV per cell.

a b c (Å): 8.397 8.397 8.397
angles (deg): 108.16 109.67 110.59
Element x y z (fractional)
Co1 0.500 0.386 0.886
Sm1 0.900 0.722 0.179
Co2 0.666 0.000 0.666
Sm2 0.316 0.990 0.674
Sm3 0.543 0.722 0.821
Co3 0.334 0.000 0.334
Sm4 0.100 0.278 0.821
Sm5 0.811 0.761 0.572
Sm6 0.189 0.239 0.428
Pd1 0.000 0.000 0.000
Co4 0.500 0.614 0.114
Sm7 0.316 0.642 0.326
Sm8 0.684 0.010 0.326
Sm9 0.189 0.761 0.950
Sm10 0.457 0.278 0.179
Pd2 0.000 0.500 0.500
Sm11 0.684 0.358 0.674
Sm12 0.811 0.239 0.050

***

21.
Computed, not measured: crystalline Sm4Co2Pd at its relaxed geometry at the PBE-GGA level of DFT.

Properties
The total moment is 2.47 Bohr magnetons per cell. The calculation puts the energy of formation at -109.7 kJ/mol of formula units. As for the density of states at the Fermi level: 15.00 states/eV per cell.

a b c (Å): 3.914 5.566 18.259
angles (deg): 90.00 90.00 110.58
Element x y z (fractional)
Co1 0.784 0.569 0.979
Sm1 0.500 0.000 0.500
Sm2 0.783 0.567 0.133
Sm3 0.934 0.868 0.750
Sm4 0.783 0.567 0.367
Sm5 0.217 0.433 0.867
Pd1 0.643 0.287 0.750
Pd2 0.357 0.713 0.250
Sm6 0.066 0.132 0.250
Co2 0.216 0.431 0.479
Sm7 0.500 0.000 0.000
Sm8 0.217 0.433 0.633
Co3 0.784 0.569 0.521
Co4 0.216 0.431 0.021

***

22.
Computed, not measured: crystalline Sm3CoPd at its relaxed geometry at the PBE-GGA level of DFT.

Properties
The total moment is 0.00 Bohr magnetons per cell. The calculation puts the energy of formation at -170.6 kJ/mol of formula units. As for the density of states at the Fermi level: 10.72 states/eV per cell.

a b c (Å): 6.079 6.079 8.148
angles (deg): 70.20 70.20 63.24
Element x y z (fractional)
Co1 0.320 0.680 0.000
Co2 0.680 0.320 0.000
Sm1 0.698 0.698 0.659
Sm2 0.007 0.007 0.777
Sm3 0.993 0.993 0.223
Pd1 0.281 0.719 0.500
Pd2 0.719 0.281 0.500
Sm4 0.314 0.314 0.851
Sm5 0.302 0.302 0.341
Sm6 0.686 0.686 0.149